No. 1
Below is an optimized crystal structure of CaPr2Cd3, with properties calculated at the PBE level.

a b c (Å): 5.4668 5.4668 13.4012
angles (deg): 90.00 90.00 120.00
Closest atoms and distances in Å follow each position.
Positions (direct):
Ca1 0.6667 0.3333 0.3331  8 Cd 3.34-3.35
Pr1 0.0000 0.0000 0.0000  8 Cd 3.35-3.37
Cd1 0.6667 0.3333 0.0832  7 Pr 3.35-3.41, 1 Ca 3.35
Pr2 0.3333 0.6667 0.1709  8 Cd 3.30-3.41
Cd2 0.0000 0.0000 0.7484  5 Pr 3.33-3.37, 3 Ca 3.34
Ca2 0.3333 0.6667 0.6669  8 Cd 3.34-3.35
Cd3 0.6667 0.3333 0.5825  4 Pr 3.30-3.34, 4 Ca 3.34-3.35
Cd4 0.0000 0.0000 0.2516  5 Pr 3.33-3.37, 3 Ca 3.34
Cd5 0.3333 0.6667 0.9168  7 Pr 3.35-3.41, 1 Ca 3.35
Cd6 0.3333 0.6667 0.4175  4 Pr 3.30-3.34, 4 Ca 3.34-3.35
Pr3 0.6667 0.3333 0.8291  8 Cd 3.30-3.41
Pr4 0.0000 0.0000 0.5000  8 Cd 3.33-3.34

Properties
crystal system	trigonal
space-group type	P-3m1, No. 164

=====

No. 2
Below is an optimized crystal structure of CaPr4Cd, with properties calculated at the PBE level.

a b c (Å): 3.7500 3.7500 14.8169
angles (deg): 90.00 90.00 90.00
Closest atoms and distances in Å follow each position.
Positions (direct):
Pr1 0.0000 0.0000 0.3577  4 Cd 3.39, 8 Pr 3.66-3.75
Pr2 0.5000 0.5000 0.1872  8 Pr 3.66-3.75, 4 Ca 3.84
Pr3 0.5000 0.5000 0.8128  8 Pr 3.66-3.75, 4 Ca 3.84
Cd1 0.5000 0.5000 0.5000  8 Pr 3.39, 4 Cd 3.75
Pr4 0.0000 0.0000 0.6423  4 Cd 3.39, 8 Pr 3.66-3.75
Ca1 0.0000 0.0000 0.0000  4 Ca 3.75, 8 Pr 3.84

Properties
crystal system	tetragonal
space-group type	P4/mmm, No. 123

=====

| no. | spin magnetization (μB per atom) | formation energy from the elements (eV per atom) | V (Å³ per atom) |
| --- | --- | --- | --- |
| 1 | 0.002 | -0.35 | 28.90 |
| 2 | 0.000 | -0.08 | 34.73 |